(i)
A relaxed CaPrAl2 crystal, computed with PBE.

Unit cell a=4.8766 b=4.8766 c=4.3599 alpha=90.00 beta=90.00 gamma=90.00
Element x y z (fractional)
Ca 0.0000 0.0000 0.0000
Pr 0.5000 0.5000 0.0000
Al 0.0000 0.5000 0.5000
Al 0.5000 0.0000 0.5000

## Properties
Space-group type   P4/mmm
Total magnetization   0.000 μB per formula unit
Density of states at the Fermi level   1.6 states/eV/cell
Volume   104 Å³/f.u.

(ii)
A relaxed CaPrAl2 crystal, computed with PBE.

Unit cell a=3.6966 b=3.6966 c=7.6106 alpha=90.00 beta=90.00 gamma=90.00
Element x y z (fractional)
Ca 0.0000 0.0000 0.0000
Pr 0.0000 0.0000 0.5000
Al 0.5000 0.5000 0.2422
Al 0.5000 0.5000 0.7578

## Properties
Space-group type   P4/mmm
Total magnetization   0.000 μB per formula unit
Density of states at the Fermi level   1.8 states/eV/cell
Volume   104 Å³/f.u.

How far above the most stable structure does each one sit? In meV per atom: (i) 6; (ii) 0.